PmCd5Pd6 | GGA-PBE | optimized geometry

a b c (Å): 4.7566 6.5694 7.2306
angles (deg): 90.00 101.80 90.00
Closest atoms and distances in Å follow each position.
Space group P2/m (No. 10)
One atom of each set of equivalent atoms:
Pm1 0.0000 0.0000 0.0000 x1  8 Pd 2.94-2.95, 4 Cd 3.22-3.28
Cd1 0.0000 0.5000 0.0000 x1  8 Pd 2.85-2.89, 2 Cd 3.16
Cd2 0.3456 0.5000 0.6698 x2  8 Pd 2.82-2.87, 1 Cd 3.11
Cd3 0.3497 0.0000 0.6631 x2  8 Pd 2.88-2.95, 1 Cd 3.00, 1 Pm 3.22
Pd1 0.1553 0.2574 0.3391 x4  7 Cd 2.86-2.93, 1 Pm 2.95, 2 Pd 3.00-3.19
Pd2 0.5000 0.2623 0.0000 x2  6 Cd 2.82-2.95, 2 Pm 2.94, 1 Pd 3.12

Calculated values
ΔE_f: -477 meV/atom
Fermi-level density of states: 4.35 states/eV/cell